Compound: NaReSbAs
Source: OQMD
Functional: PBE-GGA
Structure: optimized geometry

```
NaReSbAs
1.0
6.592 0.000 0.000
0.000 6.592 0.000
0.000 0.000 6.592
Na Re Sb As
4 4 4 4
Direct
0.000 0.000 0.000
0.000 0.500 0.500
0.500 0.000 0.500
0.500 0.500 0.000
0.000 0.000 0.500
0.000 0.500 0.000
0.500 0.000 0.000
0.500 0.500 0.500
0.250 0.250 0.750
0.250 0.750 0.250
0.750 0.250 0.250
0.750 0.750 0.750
0.250 0.250 0.250
0.250 0.750 0.750
0.750 0.250 0.750
0.750 0.750 0.250
```

Properties
Space group: F-43m (216)
Total energy (eV per atom): -5.28
Total magnetization (μB per cell): 0.025

Compound: NaTcSbAs
Source: OQMD
Functional: PBE-GGA
Structure: optimized geometry

```
NaTcSbAs
1.0
6.607 0.000 0.000
0.000 6.607 0.000
0.000 0.000 6.607
Na Tc Sb As
4 4 4 4
Direct
0.000 0.000 0.000
0.000 0.500 0.500
0.500 0.000 0.500
0.500 0.500 0.000
0.000 0.000 0.500
0.000 0.500 0.000
0.500 0.000 0.000
0.500 0.500 0.500
0.250 0.250 0.750
0.250 0.750 0.250
0.750 0.250 0.250
0.750 0.750 0.750
0.250 0.250 0.250
0.250 0.750 0.750
0.750 0.250 0.750
0.750 0.750 0.250
```

Properties
Space group: F-43m (216)
Total energy (eV per atom): -4.97
Total magnetization (μB per cell): 0.003

Compound: NaTcSbAs
Source: OQMD
Functional: PBE-GGA
Structure: optimized geometry

```
NaTcSbAs
1.0
6.729 0.000 0.000
0.000 6.729 0.000
0.000 0.000 6.729
Na Tc Sb As
4 4 4 4
Direct
0.000 0.000 0.000
0.000 0.500 0.500
0.500 0.000 0.500
0.500 0.500 0.000
0.250 0.250 0.250
0.250 0.750 0.750
0.750 0.250 0.750
0.750 0.750 0.250
0.000 0.000 0.500
0.000 0.500 0.000
0.500 0.000 0.000
0.500 0.500 0.500
0.250 0.250 0.750
0.250 0.750 0.250
0.750 0.250 0.250
0.750 0.750 0.750
```

Properties
Space group: F-43m (216)
Total energy (eV per atom): -4.56
Total magnetization (μB per cell): 0.109

Compound: NaSmAsSe3
Source: OQMD
Functional: PBE-GGA
Structure: optimized geometry

```
NaSmAsSe3
1.0
2.130 -7.349 0.000
2.130 7.349 0.000
0.000 0.000 10.165
Na Sm As Se
2 2 2 6
Direct
0.245 0.755 0.750
0.755 0.245 0.250
0.000 0.000 0.000
0.000 0.000 0.500
0.461 0.539 0.250
0.539 0.461 0.750
0.115 0.885 0.250
0.362 0.638 0.053
0.362 0.638 0.447
0.638 0.362 0.553
0.638 0.362 0.947
0.885 0.115 0.750
```

Properties
Space group: Cmcm (63)
Total energy (eV per atom): -4.41
Total magnetization (μB per cell): 0.303

Compound: NaTmAsSe3
Source: OQMD
Functional: PBE-GGA
Structure: optimized geometry

```
NaTmAsSe3
1.0
2.040 -7.292 0.000
2.040 7.292 0.000
0.000 0.000 10.219
Na Tm As Se
2 2 2 6
Direct
0.245 0.755 0.750
0.755 0.245 0.250
0.000 0.000 0.000
0.000 0.000 0.500
0.459 0.541 0.250
0.541 0.459 0.750
0.108 0.892 0.250
0.363 0.637 0.047
0.363 0.637 0.453
0.637 0.363 0.547
0.637 0.363 0.953
0.892 0.108 0.750
```

Properties
Space group: Cmcm (63)
Total energy (eV per atom): -4.33
Total magnetization (μB per cell): 0.368

Compound: NaSmAs
Source: OQMD
Functional: PBE-GGA
Structure: optimized geometry

```
NaSmAs
1.0
7.566 0.000 0.000
-3.783 6.552 0.000
0.000 0.000 4.334
Na Sm As
3 3 3
Direct
0.000 0.246 0.000
0.246 0.000 0.000
0.754 0.754 0.000
0.000 0.594 0.500
0.406 0.406 0.500
0.594 0.000 0.500
0.000 0.000 0.500
0.333 0.667 0.000
0.667 0.333 0.000
```

Properties
Space group: P-62m (189)
Total energy (eV per atom): -4.26
Total magnetization (μB per cell): 1.813

Compound: NaTaAs
Source: OQMD
Functional: PBE-GGA
Structure: optimized geometry

```
NaTaAs
1.0
6.298 0.000 0.000
0.000 6.298 0.000
0.000 0.000 6.298
Na Ta As
4 4 4
Direct
0.000 0.000 0.000
0.000 0.500 0.500
0.500 0.000 0.500
0.500 0.500 0.000
0.000 0.000 0.500
0.000 0.500 0.000
0.500 0.000 0.000
0.500 0.500 0.500
0.250 0.250 0.250
0.250 0.750 0.750
0.750 0.250 0.750
0.750 0.750 0.250
```

Properties
Space group: F-43m (216)
Total energy (eV per atom): -5.46
Total magnetization (μB per cell): 8.063

Compound: NaTaTcAs
Source: OQMD
Functional: PBE-GGA
Structure: optimized geometry

```
NaTaTcAs
1.0
6.338 0.000 0.000
0.000 6.338 0.000
0.000 0.000 6.338
Na Ta Tc As
4 4 4 4
Direct
0.000 0.000 0.000
0.000 0.500 0.500
0.500 0.000 0.500
0.500 0.500 0.000
0.250 0.250 0.750
0.250 0.750 0.250
0.750 0.250 0.250
0.750 0.750 0.750
0.000 0.000 0.500
0.000 0.500 0.000
0.500 0.000 0.000
0.500 0.500 0.500
0.250 0.250 0.250
0.250 0.750 0.750
0.750 0.250 0.750
0.750 0.750 0.250
```

Properties
Space group: F-43m (216)
Total energy (eV per atom): -6.84
Total magnetization (μB per cell): 0.001

- Among the records above, which one has the highest total magnetization?
  NaTaAs

Copy entry 1 word for word.
Compound: NaReSbAs
Source: OQMD
Functional: PBE-GGA
Structure: optimized geometry

```
NaReSbAs
1.0
6.592 0.000 0.000
0.000 6.592 0.000
0.000 0.000 6.592
Na Re Sb As
4 4 4 4
Direct
0.000 0.000 0.000
0.000 0.500 0.500
0.500 0.000 0.500
0.500 0.500 0.000
0.000 0.000 0.500
0.000 0.500 0.000
0.500 0.000 0.000
0.500 0.500 0.500
0.250 0.250 0.750
0.250 0.750 0.250
0.750 0.250 0.250
0.750 0.750 0.750
0.250 0.250 0.250
0.250 0.750 0.750
0.750 0.250 0.750
0.750 0.750 0.250
```

Properties
Space group: F-43m (216)
Total energy (eV per atom): -5.28
Total magnetization (μB per cell): 0.025

- Which value of total energy does entry 1 give?
  -5.28 eV per atom